A | Density functional theory data (PBE) for a relaxed structure of Cd3SbF.

Cell and atoms, written as CIF:
```
data_Cd3SbF
_chemical_formula_sum 'Cd3 Sb1 F1'
_cell_length_a 5.7099
_cell_length_b 5.7099
_cell_length_c 5.7099
_cell_angle_alpha 90.00
_cell_angle_beta 90.00
_cell_angle_gamma 90.00
_symmetry_space_group_name_H-M 'P m -3 m'
_symmetry_Int_Tables_number 221
_symmetry_space_group_name_Hall '-P 4 2 3'
loop_
_atom_site_label
_atom_site_fract_x
_atom_site_fract_y
_atom_site_fract_z
Cd1 0.0000 0.0000 0.5000
Sb1 0.0000 0.0000 0.0000
F1 0.5000 0.5000 0.5000
```

Output
For the density of states at the Fermi level, the calculation gives 1.05 states/eV per cell. The total magnetization is 0.0 μB per cell.

B | Density functional theory data (PBE) for a relaxed structure of Cd3SbF.

Cell and atoms, written as CIF:
```
data_Cd3SbF
_chemical_formula_sum 'Cd3 Sb1 F1'
_cell_length_a 4.8740
_cell_length_b 4.8740
_cell_length_c 4.8740
_cell_angle_alpha 90.00
_cell_angle_beta 90.00
_cell_angle_gamma 90.00
_symmetry_space_group_name_H-M 'P m -3 m'
_symmetry_Int_Tables_number 221
_symmetry_space_group_name_Hall '-P 4 2 3'
loop_
_atom_site_label
_atom_site_fract_x
_atom_site_fract_y
_atom_site_fract_z
Cd1 0.0000 0.0000 0.5000
Sb1 0.5000 0.5000 0.5000
F1 0.0000 0.0000 0.0000
```

Output
For the density of states at the Fermi level, the calculation gives 1.88 states/eV per cell. The total magnetization is 0.0 μB per cell.

Q: Which of them is the most stable? A: B.

A | Density functional theory data (PBE) for a relaxed structure of CdSb3F.

Cell and atoms, written as CIF:
```
data_CdSb3F
_chemical_formula_sum 'Cd1 Sb3 F1'
_cell_length_a 4.9849
_cell_length_b 4.9849
_cell_length_c 4.9849
_cell_angle_alpha 90.00
_cell_angle_beta 90.00
_cell_angle_gamma 90.00
_symmetry_space_group_name_H-M 'P m -3 m'
_symmetry_Int_Tables_number 221
_symmetry_space_group_name_Hall '-P 4 2 3'
loop_
_atom_site_label
_atom_site_fract_x
_atom_site_fract_y
_atom_site_fract_z
Cd1 0.0000 0.0000 0.0000
Sb1 0.0000 0.5000 0.5000
F1 0.5000 0.5000 0.5000
```

Output
For the density of states at the Fermi level, the calculation gives 2.84 states/eV per cell. The total magnetization is 0.0 μB per cell.

B | Density functional theory data (PBE) for a relaxed structure of CdSb3F.

Cell and atoms, written as CIF:
```
data_CdSb3F
_chemical_formula_sum 'Cd1 Sb3 F1'
_cell_length_a 5.5048
_cell_length_b 5.5048
_cell_length_c 5.5048
_cell_angle_alpha 90.00
_cell_angle_beta 90.00
_cell_angle_gamma 90.00
_symmetry_space_group_name_H-M 'P m -3 m'
_symmetry_Int_Tables_number 221
_symmetry_space_group_name_Hall '-P 4 2 3'
loop_
_atom_site_label
_atom_site_fract_x
_atom_site_fract_y
_atom_site_fract_z
Cd1 0.0000 0.0000 0.0000
Sb1 0.0000 0.0000 0.5000
F1 0.5000 0.5000 0.5000
```

Output
For the density of states at the Fermi level, the calculation gives 5.79 states/eV per cell. The total magnetization is 0.0 μB per cell.

Q: Which of them is the most stable? A: A.

A | Density functional theory data (PBE) for a relaxed structure of ScCd2F.

Cell and atoms, written as CIF:
```
data_ScCd2F
_chemical_formula_sum 'Sc4 Cd8 F4'
_cell_length_a 9.7660
_cell_length_b 9.7660
_cell_length_c 4.0589
_cell_angle_alpha 90.00
_cell_angle_beta 90.00
_cell_angle_gamma 90.00
_symmetry_space_group_name_H-M 'I -4 2 d'
_symmetry_Int_Tables_number 122
_symmetry_space_group_name_Hall 'I -4 2bw'
loop_
_atom_site_label
_atom_site_fract_x
_atom_site_fract_y
_atom_site_fract_z
Sc1 0.0000 0.0000 0.0000
Cd1 0.1475 0.2500 0.6250
F1 0.0000 0.0000 0.5000
```

Output
For the density of states at the Fermi level, the calculation gives 6.65 states/eV per cell. The total magnetization is 0.0 μB per cell.

B | Density functional theory data (PBE) for a relaxed structure of ScCd2F.

Cell and atoms, written as CIF:
```
data_ScCd2F
_chemical_formula_sum 'Sc4 Cd8 F4'
_cell_length_a 6.9175
_cell_length_b 6.9175
_cell_length_c 6.9175
_cell_angle_alpha 90.00
_cell_angle_beta 90.00
_cell_angle_gamma 90.00
_symmetry_space_group_name_H-M 'F m -3 m'
_symmetry_Int_Tables_number 225
_symmetry_space_group_name_Hall '-F 4 2 3'
loop_
_atom_site_label
_atom_site_fract_x
_atom_site_fract_y
_atom_site_fract_z
Sc1 0.0000 0.0000 0.0000
Cd1 0.2500 0.2500 0.2500
F1 0.0000 0.0000 0.5000
```

Output
For the density of states at the Fermi level, the calculation gives 19.21 states/eV per cell. The total magnetization is 0.0 μB per cell.

Q: Which of them is the most stable? A: A.

A | Density functional theory data (PBE) for a relaxed structure of ScCdF3.

Cell and atoms, written as CIF:
```
data_ScCdF3
_chemical_formula_sum 'Sc1 Cd1 F3'
_cell_length_a 4.4547
_cell_length_b 4.4547
_cell_length_c 4.4547
_cell_angle_alpha 90.00
_cell_angle_beta 90.00
_cell_angle_gamma 90.00
_symmetry_space_group_name_H-M 'P m -3 m'
_symmetry_Int_Tables_number 221
_symmetry_space_group_name_Hall '-P 4 2 3'
loop_
_atom_site_label
_atom_site_fract_x
_atom_site_fract_y
_atom_site_fract_z
Sc1 0.0000 0.0000 0.0000
Cd1 0.5000 0.5000 0.5000
F1 0.0000 0.5000 0.5000
```

Output
For the density of states at the Fermi level, the calculation gives 3.62 states/eV per cell. The total magnetization is 1.5 μB per cell.

B | Density functional theory data (PBE) for a relaxed structure of ScCdF3.

Cell and atoms, written as CIF:
```
data_ScCdF3
_chemical_formula_sum 'Sc1 Cd1 F3'
_cell_length_a 4.2646
_cell_length_b 4.2646
_cell_length_c 4.2646
_cell_angle_alpha 90.00
_cell_angle_beta 90.00
_cell_angle_gamma 90.00
_symmetry_space_group_name_H-M 'P m -3 m'
_symmetry_Int_Tables_number 221
_symmetry_space_group_name_Hall '-P 4 2 3'
loop_
_atom_site_label
_atom_site_fract_x
_atom_site_fract_y
_atom_site_fract_z
Sc1 0.0000 0.0000 0.0000
Cd1 0.5000 0.5000 0.5000
F1 0.0000 0.0000 0.5000
```

Output
For the density of states at the Fermi level, the calculation gives 1.81 states/eV per cell. The total magnetization is 0.0 μB per cell.

Q: Which of them is the most stable? A: B.

A | Density functional theory data (PBE) for a relaxed structure of ScCdF2.

Cell and atoms, written as CIF:
```
data_ScCdF2
_chemical_formula_sum 'Sc4 Cd4 F8'
_cell_length_a 6.2953
_cell_length_b 6.2953
_cell_length_c 6.2953
_cell_angle_alpha 90.00
_cell_angle_beta 90.00
_cell_angle_gamma 90.00
_symmetry_space_group_name_H-M 'F m -3 m'
_symmetry_Int_Tables_number 225
_symmetry_space_group_name_Hall '-F 4 2 3'
loop_
_atom_site_label
_atom_site_fract_x
_atom_site_fract_y
_atom_site_fract_z
Sc1 0.0000 0.0000 0.0000
Cd1 0.0000 0.0000 0.5000
F1 0.2500 0.2500 0.2500
```

Output
For the density of states at the Fermi level, the calculation gives 12.11 states/eV per cell. The total magnetization is 4.0 μB per cell.

B | Density functional theory data (PBE) for a relaxed structure of ScCdF2.

Cell and atoms, written as CIF:
```
data_ScCdF2
_chemical_formula_sum 'Sc4 Cd4 F8'
_cell_length_a 5.5311
_cell_length_b 5.5311
_cell_length_c 11.6830
_cell_angle_alpha 90.00
_cell_angle_beta 90.00
_cell_angle_gamma 90.00
_symmetry_space_group_name_H-M 'I 41/a m d'
_symmetry_Int_Tables_number 141
loop_
_symmetry_equiv_pos_as_xyz
'x,y,z'
'-x,-y,-z'
'-y+1/4,x+3/4,z+1/4'
'y+1/4,-x+3/4,-z+1/4'
'-x+1/2,-y,z+1/2'
'x+1/2,y,-z+1/2'
'y+1/4,-x+1/4,z+3/4'
'-y+1/4,x+1/4,-z+3/4'
'x,-y,-z'
'-x,y,z'
'-y+1/4,-x+1/4,-z+3/4'
'y+1/4,x+1/4,z+3/4'
'-x+1/2,y,-z+1/2'
'x+1/2,-y,z+1/2'
'y+1/4,x+3/4,-z+1/4'
'-y+1/4,-x+3/4,z+1/4'
'x+1/2,y+1/2,z+1/2'
'-x+1/2,-y+1/2,-z+1/2'
'-y+3/4,x+1/4,z+3/4'
'y+3/4,-x+1/4,-z+3/4'
'-x,-y+1/2,z'
'x,y+1/2,-z'
'y+3/4,-x+3/4,z+1/4'
'-y+3/4,x+3/4,-z+1/4'
'x+1/2,-y+1/2,-z+1/2'
'-x+1/2,y+1/2,z+1/2'
'-y+3/4,-x+3/4,-z+1/4'
'y+3/4,x+3/4,z+1/4'
'-x,y+1/2,-z'
'x,-y+1/2,z'
'y+3/4,x+1/4,-z+3/4'
'-y+3/4,-x+1/4,z+3/4'
loop_
_atom_site_label
_atom_site_fract_x
_atom_site_fract_y
_atom_site_fract_z
Sc1 0.0000 0.2500 0.3750
Cd1 0.0000 0.2500 0.8750
F1 0.0000 0.0000 0.5000
```

Output
For the density of states at the Fermi level, the calculation gives 10.99 states/eV per cell. The total magnetization is 0.0 μB per cell.

C | Density functional theory data (PBE) for a relaxed structure of ScCdF2.

Cell and atoms, written as CIF:
```
data_ScCdF2
_chemical_formula_sum 'Sc3 Cd3 F6'
_cell_length_a 3.0869
_cell_length_b 3.0869
_cell_length_c 27.8870
_cell_angle_alpha 90.00
_cell_angle_beta 90.00
_cell_angle_gamma 120.00
_symmetry_space_group_name_H-M 'R -3 m'
_symmetry_Int_Tables_number 166
_symmetry_space_group_name_Hall '-R 3 2"'
loop_
_atom_site_label
_atom_site_fract_x
_atom_site_fract_y
_atom_site_fract_z
Sc1 0.0000 0.0000 0.0000
Cd1 0.0000 0.0000 0.5000
F1 0.0000 0.0000 0.3780
```

Output
For the density of states at the Fermi level, the calculation gives 6.69 states/eV per cell. The total magnetization is 0.0 μB per cell.

Q: Which of them is the most stable? A: C.

A | Density functional theory data (PBE) for a relaxed structure of Cd3SeF.

Cell and atoms, written as CIF:
```
data_Cd3SeF
_chemical_formula_sum 'Cd3 Se1 F1'
_cell_length_a 5.5368
_cell_length_b 5.5368
_cell_length_c 5.5368
_cell_angle_alpha 90.00
_cell_angle_beta 90.00
_cell_angle_gamma 90.00
_symmetry_space_group_name_H-M 'P m -3 m'
_symmetry_Int_Tables_number 221
_symmetry_space_group_name_Hall '-P 4 2 3'
loop_
_atom_site_label
_atom_site_fract_x
_atom_site_fract_y
_atom_site_fract_z
Cd1 0.0000 0.0000 0.5000
Se1 0.0000 0.0000 0.0000
F1 0.5000 0.5000 0.5000
```

Output
For the density of states at the Fermi level, the calculation gives 1.45 states/eV per cell. The total magnetization is 0.0 μB per cell.

B | Density functional theory data (PBE) for a relaxed structure of Cd3SeF.

Cell and atoms, written as CIF:
```
data_Cd3SeF
_chemical_formula_sum 'Cd3 Se1 F1'
_cell_length_a 4.8465
_cell_length_b 4.8465
_cell_length_c 4.8465
_cell_angle_alpha 90.00
_cell_angle_beta 90.00
_cell_angle_gamma 90.00
_symmetry_space_group_name_H-M 'P m -3 m'
_symmetry_Int_Tables_number 221
_symmetry_space_group_name_Hall '-P 4 2 3'
loop_
_atom_site_label
_atom_site_fract_x
_atom_site_fract_y
_atom_site_fract_z
Cd1 0.0000 0.0000 0.5000
Se1 0.5000 0.5000 0.5000
F1 0.0000 0.0000 0.0000
```

Output
For the density of states at the Fermi level, the calculation gives 3.95 states/eV per cell. The total magnetization is 0.0 μB per cell.

Q: Which of them is the most stable? A: B.